# TmLu2Sb

Crystalline TmLu2Sb at its relaxed geometry (PBE-GGA, Alexandria via LeMat-Bulk).

Properties
calculated density = 10.23 Mg/m³
V = 104 Å³/cell
energy relative to the elements, uncorrected = -39.5 kJ per mole of atoms
distance to the lowest polymorph of the same formula = 24 meV per atom

Geometry as CIF:
```
data_TmLu2Sb
_chemical_formula_sum 'Tm1 Lu2 Sb1'
_cell_length_a 4.7019
_cell_length_b 4.7038
_cell_length_c 4.7038
_cell_angle_alpha 90.00
_cell_angle_beta 90.00
_cell_angle_gamma 90.00
_symmetry_space_group_name_H-M 'P 1'
_symmetry_Int_Tables_number 1
loop_
_symmetry_equiv_pos_as_xyz
'x,y,z'
loop_
_atom_site_label
_atom_site_type_symbol
_atom_site_fract_x
_atom_site_fract_y
_atom_site_fract_z
Sb1 Sb 0.5000 0.0000 0.0000
Lu1 Lu 0.0000 0.0000 0.5000
Lu2 Lu 0.0000 0.5000 0.0000
Tm1 Tm 0.5000 0.5000 0.5000
```